1.
Tb2NiAs4Rh3 after structural relaxation. Source: the Alexandria database, functional PBE.

a = 4.231 Å, b = 4.231 Å, c = 9.954 Å
α = 90.00°, β = 90.00°, γ = 90.00°
Sites, in units of the cell vectors:
Tb 0.000 0.500 0.745
Tb 0.500 0.000 0.255
Rh 0.500 0.000 0.873
Rh 0.000 0.000 0.500
Rh 0.000 0.500 0.127
Ni 0.500 0.500 0.500
As 0.000 0.500 0.370
As 0.500 0.500 0.000
As 0.000 0.000 0.000
As 0.500 0.000 0.630

* space-group type: P-4m2, No. 115
* ΔE_f: -831 meV per atom
* calculated density: 9.18 g/cm³
* raw total energy: -64.01 eV per cell



2.
Tb2Ni3As4Rh after structural relaxation. Source: the Alexandria database, functional PBE.

a = 4.189 Å, b = 4.189 Å, c = 9.539 Å
α = 90.00°, β = 90.00°, γ = 90.00°
Sites, in units of the cell vectors:
Tb 0.500 0.000 0.247
As 0.500 0.500 0.000
As 0.000 0.000 0.000
As 0.500 0.000 0.638
Rh 0.500 0.500 0.500
As 0.000 0.500 0.362
Tb 0.000 0.500 0.753
Ni 0.500 0.000 0.882
Ni 0.000 0.000 0.500
Ni 0.000 0.500 0.118

* space-group type: P-4m2, No. 115
* ΔE_f: -819 meV per atom
* calculated density: 8.89 g/cm³
* raw total energy: -60.75 eV per cell



3.
TcNiAs2Rh after structural relaxation. Source: the Alexandria database, functional PBE.

a = 4.603 Å, b = 5.145 Å, c = 4.603 Å
α = 90.00°, β = 90.00°, γ = 90.00°
Site moments in Bohr magnetons follow the coordinates.
Sites, in units of the cell vectors:
Ni 0.500 0.500 0.500  0.79
As 0.500 0.000 0.000  -0.01
Tc 0.000 0.500 0.000  3.16
As 0.000 0.000 0.500  0.01
Rh 0.000 0.000 0.000  0.22

* space-group type: P4/mmm, No. 123
* ΔE_f: 1242 meV per atom
* calculated density: 6.24 g/cm³
* raw total energy: -26.59 eV per cell